Density functional theory data (PBE) for crystalline LaTh2GeN5 at its relaxed geometry.

Summary:
As for the magnetization: 0.00 μB/f.u. The calculation puts the formation energy (no corrections) at -1.0327 eV/atom.

a = 6.781 Å, b = 6.781 Å, c = 5.918 Å
α = 90.00°, β = 90.00°, γ = 90.00°
Fractional positions:
La (0.000, 0.000, 0.000)
La (0.500, 0.500, 0.000)
Th (0.178, 0.322, 0.500)
Th (0.322, 0.822, 0.500)
Th (0.678, 0.178, 0.500)
Th (0.822, 0.678, 0.500)
Ge (0.000, 0.500, 0.000)
Ge (0.500, 0.000, 0.000)
N (0.000, 0.000, 0.500)
N (0.143, 0.643, 0.228)
N (0.143, 0.643, 0.772)
N (0.357, 0.143, 0.228)
N (0.357, 0.143, 0.772)
N (0.500, 0.500, 0.500)
N (0.643, 0.857, 0.228)
N (0.643, 0.857, 0.772)
N (0.857, 0.357, 0.228)
N (0.857, 0.357, 0.772)

---

Density functional theory data (PBE) for crystalline La2TiGeN at its relaxed geometry.

Summary:
As for the magnetization: 1.31 μB/f.u. The calculation puts the formation energy (no corrections) at -0.8762 eV/atom.

a = 5.198 Å, b = 5.198 Å, c = 4.076 Å
α = 90.00°, β = 90.00°, γ = 90.00°
Fractional positions:
La (0.000, 0.500, 0.000)
La (0.500, 0.000, 0.000)
Ti (0.000, 0.000, 0.500)
Ge (0.500, 0.500, 0.500)
N (0.000, 0.000, 0.000)

---

Density functional theory data (PBE) for crystalline La4TlGeN at its relaxed geometry.

Summary:
As for the magnetization: 0.00 μB/f.u. The calculation puts the formation energy (no corrections) at -0.7640 eV/atom.

a = 9.147 Å, b = 9.147 Å, c = 6.981 Å
α = 90.00°, β = 90.00°, γ = 135.35°
Fractional positions:
La (0.000, 0.500, 0.000)
La (0.000, 0.500, 0.500)
La (0.065, 0.935, 0.750)
La (0.416, 0.584, 0.750)
La (0.500, 0.000, 0.000)
La (0.500, 0.000, 0.500)
La (0.584, 0.416, 0.250)
La (0.935, 0.065, 0.250)
Tl (0.391, 0.609, 0.250)
Tl (0.609, 0.391, 0.750)
Ge (0.115, 0.885, 0.250)
Ge (0.885, 0.115, 0.750)
N (0.272, 0.728, 0.750)
N (0.728, 0.272, 0.250)